# 1
{"formula": "Ba2NaZnRh", "functional": "PBE", "state": "relaxed", "lattice_angstrom": [[6.0995, 0.0000, 0.0000], [0.0000, 6.0995, 0.0000], [0.0000, 0.0000, 4.9705]], "species": ["Ba", "Ba", "Na", "Zn", "Rh"], "fractional_positions": [[0.0000, 0.5000, 0.0000], [0.5000, 0.0000, 0.0000], [0.0000, 0.0000, 0.5000], [0.5000, 0.5000, 0.5000], [0.5000, 0.5000, 0.0000]], "e_form_ev_per_fu": -0.72, "space_group": "P4/mmm, No. 123", "dos_at_fermi_per_ev_cell": 2.37}

---

# 2
{"formula": "La3Nd6Dy2Mg", "functional": "PBE", "state": "relaxed", "lattice_angstrom": [[3.1590, -5.4794, 0.0000], [3.1590, 5.4794, 0.0000], [-2.1245, 0.0000, 11.8142]], "species": ["La", "La", "La", "Nd", "Nd", "Nd", "Nd", "Nd", "Nd", "Dy", "Dy", "Mg"], "fractional_positions": [[0.0000, 0.0000, 0.0000], [0.3319, 0.6681, 0.0000], [0.6681, 0.3319, 0.0000], [0.0888, 0.4200, 0.2574], [0.2496, 0.2496, 0.7438], [0.4200, 0.0888, 0.2574], [0.5800, 0.9112, 0.7426], [0.7504, 0.7504, 0.2562], [0.9112, 0.5800, 0.7426], [0.1667, 0.8333, 0.5000], [0.8333, 0.1667, 0.5000], [0.5000, 0.5000, 0.5000]], "e_form_ev_per_fu": 0.35, "space_group": "C2/m, No. 12", "dos_at_fermi_per_ev_cell": 16.66}

---

# 3
{"formula": "AcHoIn2Ag2", "functional": "PBE", "state": "relaxed", "lattice_angstrom": [[4.8816, 0.0000, 0.0000], [-2.4408, 4.2276, 0.0000], [0.0000, 0.0000, 7.7321]], "species": ["Ac", "Ho", "In", "In", "Ag", "Ag"], "fractional_positions": [[0.0000, 0.0000, 0.0000], [0.0000, 0.0000, 0.5000], [0.3333, 0.6667, 0.2858], [0.6667, 0.3333, 0.7142], [0.3333, 0.6667, 0.6993], [0.6667, 0.3333, 0.3007]], "e_form_ev_per_fu": -2.36, "space_group": "P-3m1, No. 164", "dos_at_fermi_per_ev_cell": 6.57}

---

# 4
{"formula": "MgZnCl", "functional": "PBE", "state": "relaxed", "lattice_angstrom": [[0.0000, 3.4317, 3.4317], [3.4317, 0.0000, 3.4317], [3.4317, 3.4317, 0.0000]], "species": ["Mg", "Zn", "Cl"], "fractional_positions": [[0.0000, 0.0000, 0.0000], [0.2500, 0.2500, 0.2500], [0.5000, 0.5000, 0.5000]], "raw_formation_energy_mev_per_atom": -42.3, "space_group": "F-43m, No. 216", "polymorph_energy_ev_per_fu": 1.659, "dos_at_fermi_per_ev_cell": 1.40}

---

# 5
{"formula": "Pa2Ga3Pd2", "functional": "PBE", "state": "relaxed", "lattice_angstrom": [[2.2497, -9.2932, 0.0000], [2.2497, 9.2932, 0.0000], [0.0000, 0.0000, 3.2974]], "species": ["Pa", "Pa", "Ga", "Ga", "Ga", "Pd", "Pd"], "fractional_positions": [[0.1419, 0.8581, 0.0000], [0.8581, 0.1419, 0.0000], [0.0000, 0.0000, 0.5000], [0.2843, 0.7157, 0.5000], [0.7157, 0.2843, 0.5000], [0.4250, 0.5750, 0.5000], [0.5750, 0.4250, 0.5000]], "e_form_ev_per_fu": -3.16, "space_group": "Cmmm, No. 65", "polymorph_energy_ev_per_fu": 0.628, "dos_at_fermi_per_ev_cell": 6.50}

---

# 6
{"formula": "HoMgSi2", "functional": "PBE", "state": "relaxed", "lattice_angstrom": [[7.9203, 0.0000, 0.0000], [0.0000, 3.7393, 0.0000], [0.0000, 0.0000, 10.6273]], "species": ["Ho", "Ho", "Ho", "Ho", "Mg", "Mg", "Mg", "Mg", "Si", "Si", "Si", "Si", "Si", "Si", "Si", "Si"], "fractional_positions": [[0.1288, 0.2500, 0.1466], [0.3712, 0.7500, 0.6466], [0.6288, 0.2500, 0.3534], [0.8712, 0.7500, 0.8534], [0.0046, 0.7500, 0.3914], [0.4954, 0.2500, 0.8914], [0.5046, 0.7500, 0.1086], [0.9954, 0.2500, 0.6086], [0.1630, 0.2500, 0.8177], [0.2446, 0.7500, 0.9455], [0.2554, 0.2500, 0.4455], [0.3370, 0.7500, 0.3177], [0.6630, 0.2500, 0.6823], [0.7446, 0.7500, 0.5545], [0.7554, 0.2500, 0.0545], [0.8370, 0.7500, 0.1823]], "raw_formation_energy_mev_per_atom": -422.4, "space_group": "Pnma, No. 62", "polymorph_energy_ev_per_fu": 0.000, "dos_at_fermi_per_ev_cell": 6.08}

---

# 7
{"formula": "YCuPCl2", "functional": "PBE", "state": "relaxed", "lattice_angstrom": [[4.5217, 0.0000, 0.0000], [0.0000, 4.5217, 0.0000], [0.0000, 0.0000, 5.0554]], "species": ["Y", "Cu", "P", "Cl", "Cl"], "fractional_positions": [[0.0000, 0.0000, 0.0000], [0.5000, 0.5000, 0.5000], [0.5000, 0.5000, 0.0000], [0.0000, 0.5000, 0.5000], [0.5000, 0.0000, 0.5000]], "raw_formation_energy_mev_per_atom": -546.1, "space_group": "P4/mmm, No. 123", "polymorph_energy_ev_per_fu": 0.000, "dos_at_fermi_per_ev_cell": 3.24}

---

# 8
{"formula": "B2C", "functional": "PBE", "state": "relaxed", "lattice_angstrom": [[5.6712, -1.9766, 0.0000], [5.6712, 1.9766, 0.0000], [-0.1644, 0.0000, 3.9312]], "species": ["B", "B", "B", "B", "B", "B", "B", "B", "C", "C", "C", "C"], "fractional_positions": [[0.0000, 0.0000, 0.0000], [0.0051, 0.4853, 0.6963], [0.1901, 0.6399, 0.3065], [0.3601, 0.8099, 0.6935], [0.4356, 0.2801, 0.0258], [0.5147, 0.9949, 0.3037], [0.5947, 0.4053, 0.5000], [0.7199, 0.5644, 0.9742], [0.1912, 0.1354, 0.4857], [0.7121, 0.1145, 0.7398], [0.8646, 0.8088, 0.5143], [0.8855, 0.2879, 0.2602]], "e_form_ev_per_fu": 1.36, "space_group": "C2, No. 5", "polymorph_energy_ev_per_fu": 0.802, "dos_at_fermi_per_ev_cell": 1.01}

---

# 9
{"formula": "La4Se5Cl", "functional": "PBE", "state": "relaxed", "lattice_angstrom": [[9.9307, -2.1851, 0.0000], [9.9307, 2.1851, 0.0000], [-3.2328, 0.0000, 7.3397]], "species": ["La", "La", "La", "La", "Se", "Se", "Se", "Se", "Se", "Cl"], "fractional_positions": [[0.0001, 0.0001, 0.2423], [0.9999, 0.9999, 0.7577], [0.2805, 0.2805, 0.2803], [0.7195, 0.7195, 0.7197], [0.1654, 0.1654, 0.4339], [0.1654, 0.1654, 0.8973], [0.5000, 0.5000, 0.0000], [0.8346, 0.8346, 0.1027], [0.8346, 0.8346, 0.5661], [0.5000, 0.5000, 0.5000]], "raw_formation_energy_mev_per_atom": -1970.2, "space_group": "C2/m, No. 12", "dos_at_fermi_per_ev_cell": 5.15}

---

# 10
{"formula": "MnCrPCl2", "functional": "PBE", "state": "relaxed", "lattice_angstrom": [[4.6328, 0.0000, 0.0000], [0.0000, 4.6328, 0.0000], [0.0000, 0.0000, 4.9645]], "species": ["Mn", "Cr", "P", "Cl", "Cl"], "fractional_positions": [[0.0000, 0.0000, 0.0000], [0.5000, 0.5000, 0.5000], [0.5000, 0.5000, 0.0000], [0.0000, 0.5000, 0.5000], [0.5000, 0.0000, 0.5000]], "raw_formation_energy_mev_per_atom": 79.2, "space_group": "P4/mmm, No. 123", "polymorph_energy_ev_per_fu": 0.000, "dos_at_fermi_per_ev_cell": 1.19}

---

# 11
{"formula": "TbTmTh2", "functional": "PBE", "state": "relaxed", "lattice_angstrom": [[3.5504, 0.0000, 0.0000], [0.0000, 3.5504, 0.0000], [0.0000, 0.0000, 10.0617]], "species": ["Tb", "Tm", "Th", "Th"], "fractional_positions": [[0.0000, 0.0000, 0.0000], [0.0000, 0.0000, 0.5000], [0.5000, 0.5000, 0.2526], [0.5000, 0.5000, 0.7474]], "e_form_ev_per_fu": 0.19, "space_group": "P4/mmm, No. 123", "polymorph_energy_ev_per_fu": 0.067, "dos_at_fermi_per_ev_cell": 5.70}

---

# 12
{"formula": "Ac4DyS5", "functional": "PBE", "state": "relaxed", "lattice_angstrom": [[-4.7235, 4.7235, 3.0030], [4.7235, -4.7235, 3.0030], [4.7235, 4.7235, -3.0030]], "species": ["Ac", "Ac", "Ac", "Ac", "Dy", "S", "S", "S", "S", "S"], "fractional_positions": [[0.0958, 0.6980, 0.7939], [0.3020, 0.0958, 0.3978], [0.6980, 0.9042, 0.6022], [0.9042, 0.3020, 0.2061], [0.5000, 0.5000, 0.0000], [0.0000, 0.0000, 0.0000], [0.2170, 0.4026, 0.6196], [0.4026, 0.7830, 0.1856], [0.5974, 0.2170, 0.8144], [0.7830, 0.5974, 0.3804]], "raw_formation_energy_mev_per_atom": -1969.0, "space_group": "I4/m, No. 87", "dos_at_fermi_per_ev_cell": 4.87}

---

How do the records compare in calculated total energy? In the order shown, they have -14.5 -53.8 -22.2 -4.8 -41.6 -74.8 -22.4 -84.9 -58.7 -27.5 -23.8 -61.4 eV per cell.